No. 1
Here is a relaxed Pm2Zn5Pt4 crystal from the Alexandria database. Energies are from GGA-PBE.

Unit cell a=9.463 b=8.634 c=5.425 alpha=81.14 beta=64.36 gamma=34.50
Fractional positions:
Pm 0.148 0.148 0.852
Pm 0.852 0.852 0.148
Zn 0.000 0.000 0.500
Zn 0.250 0.250 0.250
Zn 0.500 0.500 0.000
Zn 0.500 0.500 0.500
Zn 0.750 0.750 0.750
Pt 0.216 0.528 0.472
Pt 0.472 0.784 0.216
Pt 0.528 0.216 0.784
Pt 0.784 0.472 0.528

Output
energy of formation: -0.72 eV per atom

=====

No. 2
Here is a relaxed PmZnPt2 crystal from the Alexandria database. Energies are from GGA-PBE.

Unit cell a=5.421 b=5.421 c=5.421 alpha=47.96 beta=47.96 gamma=47.96
Fractional positions:
Pm 0.000 0.000 0.000
Zn 0.500 0.500 0.500
Pt 0.213 0.213 0.213
Pt 0.787 0.787 0.787

Output
energy of formation: -0.89 eV per atom

=====

No. 3
Here is a relaxed Pm2Zn3Pt5 crystal from the Alexandria database. Energies are from GGA-PBE.

Unit cell a=8.611 b=8.611 c=8.611 alpha=97.20 beta=95.65 gamma=140.91
Fractional positions:
Pm 0.127 0.230 0.357
Pm 0.373 0.730 0.103
Pm 0.627 0.270 0.897
Pm 0.873 0.770 0.643
Zn 0.136 0.880 0.016
Zn 0.250 0.750 0.500
Zn 0.364 0.380 0.744
Zn 0.636 0.620 0.256
Zn 0.750 0.250 0.500
Zn 0.864 0.120 0.984
Pt 0.022 0.750 0.272
Pt 0.109 0.665 0.774
Pt 0.250 0.250 0.000
Pt 0.391 0.165 0.557
Pt 0.478 0.750 0.728
Pt 0.522 0.250 0.272
Pt 0.609 0.835 0.443
Pt 0.750 0.750 0.000
Pt 0.891 0.335 0.226
Pt 0.978 0.250 0.728

Output
energy of formation: -0.77 eV per atom

=====

No. 4
Here is a relaxed Pm2Zn5Pt5 crystal from the Alexandria database. Energies are from GGA-PBE.

Unit cell a=4.333 b=5.316 c=9.410 alpha=90.00 beta=90.00 gamma=90.00
Fractional positions:
Pm 0.000 0.000 0.000
Pm 0.000 0.500 0.500
Zn 0.500 0.000 0.500
Zn 0.500 0.251 0.250
Zn 0.500 0.251 0.750
Zn 0.500 0.749 0.250
Zn 0.500 0.749 0.750
Pt 0.000 0.000 0.333
Pt 0.000 0.000 0.667
Pt 0.000 0.500 0.178
Pt 0.000 0.500 0.822
Pt 0.500 0.500 0.000

Output
energy of formation: -0.76 eV per atom

=====

No. 5
Here is a relaxed Pm4Zn2Pt crystal from the Alexandria database. Energies are from GGA-PBE.

Unit cell a=8.832 b=8.832 c=8.832 alpha=33.60 beta=33.60 gamma=33.60
Fractional positions:
Pm 0.124 0.124 0.124
Pm 0.374 0.374 0.374
Pm 0.626 0.626 0.626
Pm 0.876 0.876 0.876
Zn 0.246 0.246 0.246
Zn 0.754 0.754 0.754
Pt 0.000 0.000 0.000

Output
energy of formation: -0.40 eV per atom

=====

No. 6
Here is a relaxed PmZn2Pt3 crystal from the Alexandria database. Energies are from GGA-PBE.

Unit cell a=6.414 b=6.414 c=5.525 alpha=90.00 beta=90.00 gamma=78.24
Fractional positions:
Pm 0.161 0.839 0.750
Pm 0.839 0.161 0.250
Zn 0.280 0.280 0.000
Zn 0.280 0.280 0.500
Zn 0.720 0.720 0.000
Zn 0.720 0.720 0.500
Pt 0.058 0.657 0.250
Pt 0.343 0.942 0.250
Pt 0.486 0.514 0.250
Pt 0.514 0.486 0.750
Pt 0.657 0.058 0.750
Pt 0.942 0.343 0.750

Output
energy of formation: -0.70 eV per atom

=====

No. 7
Here is a relaxed Pm12ZnPt6 crystal from the Alexandria database. Energies are from GGA-PBE.

Unit cell a=8.506 b=8.506 c=8.506 alpha=100.49 beta=100.49 gamma=100.49
Fractional positions:
Pm 0.062 0.674 0.929
Pm 0.071 0.938 0.326
Pm 0.176 0.422 0.580
Pm 0.326 0.071 0.938
Pm 0.420 0.824 0.578
Pm 0.422 0.580 0.176
Pm 0.578 0.420 0.824
Pm 0.580 0.176 0.422
Pm 0.674 0.929 0.062
Pm 0.824 0.578 0.420
Pm 0.929 0.062 0.674
Pm 0.938 0.326 0.071
Zn 0.000 0.000 0.000
Pt 0.137 0.614 0.308
Pt 0.308 0.137 0.614
Pt 0.386 0.692 0.863
Pt 0.614 0.308 0.137
Pt 0.692 0.863 0.386
Pt 0.863 0.386 0.692

Output
energy of formation: -0.69 eV per atom

=====

No. 8
Here is a relaxed Pm2Zn2Pt crystal from the Alexandria database. Energies are from GGA-PBE.

Unit cell a=5.631 b=5.631 c=10.825 alpha=111.77 beta=111.77 gamma=46.22
Fractional positions:
Pm 0.015 0.015 0.338
Pm 0.196 0.196 0.119
Pm 0.804 0.804 0.881
Pm 0.985 0.985 0.662
Zn 0.353 0.353 0.446
Zn 0.484 0.484 0.111
Zn 0.516 0.516 0.889
Zn 0.647 0.647 0.554
Pt 0.278 0.278 0.670
Pt 0.722 0.722 0.330

Output
energy of formation: -0.65 eV per atom

=====

No. 9
Here is a relaxed PmZnPt crystal from the Alexandria database. Energies are from GGA-PBE.

Unit cell a=7.380 b=7.380 c=3.989 alpha=90.00 beta=90.00 gamma=120.00
Fractional positions:
Pm 0.000 0.592 0.000
Pm 0.408 0.408 0.000
Pm 0.592 0.000 0.000
Zn 0.000 0.244 0.500
Zn 0.244 0.000 0.500
Zn 0.756 0.756 0.500
Pt 0.000 0.000 0.000
Pt 0.333 0.667 0.500
Pt 0.667 0.333 0.500

Output
energy of formation: -0.91 eV per atom

=====

No. 10
Here is a relaxed Pm2ZnPt3 crystal from the Alexandria database. Energies are from GGA-PBE.

Unit cell a=9.024 b=8.687 c=5.779 alpha=74.14 beta=67.83 gamma=38.03
Fractional positions:
Pm 0.248 0.752 0.752
Pm 0.250 0.250 0.250
Pm 0.750 0.750 0.750
Pm 0.752 0.248 0.248
Zn 0.334 0.334 0.666
Zn 0.666 0.666 0.334
Pt 0.172 0.658 0.342
Pt 0.175 0.175 0.825
Pt 0.342 0.828 0.172
Pt 0.658 0.172 0.828
Pt 0.825 0.825 0.175
Pt 0.828 0.342 0.658

Output
energy of formation: -0.94 eV per atom

=====

No. 11
Here is a relaxed Pm2Zn6Pt3 crystal from the Alexandria database. Energies are from GGA-PBE.

Unit cell a=7.747 b=7.747 c=4.022 alpha=90.00 beta=90.00 gamma=120.00
Fractional positions:
Pm 0.333 0.667 0.000
Pm 0.667 0.333 0.000
Zn 0.000 0.190 0.000
Zn 0.000 0.725 0.500
Zn 0.190 0.000 0.000
Zn 0.275 0.275 0.500
Zn 0.725 0.000 0.500
Zn 0.810 0.810 0.000
Pt 0.000 0.395 0.500
Pt 0.395 0.000 0.500
Pt 0.605 0.605 0.500

Output
energy of formation: -0.62 eV per atom

=====

No. 12
Here is a relaxed Pm2ZnPt crystal from the Alexandria database. Energies are from GGA-PBE.

Unit cell a=5.118 b=5.118 c=5.118 alpha=60.00 beta=60.00 gamma=60.00
Fractional positions:
Pm 0.250 0.250 0.250
Pm 0.750 0.750 0.750
Zn 0.000 0.000 0.000
Pt 0.500 0.500 0.500

Output
energy of formation: -0.69 eV per atom